VASP calculation (PBE) on a relaxed YErAsO crystal.

Output
Calculated volume (Å³/atom): 23.24
Polymorph energy (0 for the lowest one) (meV per atom): 0.0

a = 4.1768 Å, b = 7.5356 Å, c = 5.9066 Å
α = 90.00°, β = 90.00°, γ = 90.00°
Space group Pmc2_1 (No. 26)
Asymmetric unit:
Y 0.0000 0.2095 0.0000 x2
Er 0.5000 0.3891 0.5771 x2
As 0.0000 0.1652 0.4903 x2
O 0.5000 0.3316 0.9412 x2